[1]
LaZn3CuIr | PBE | relaxed

Summary:
**DFT formation energy**: -0.228 eV/atom

abc: 6.3466 12.7780 5.3975
angles: 90.00 90.00 90.00
Closest atoms and distances in Å follow each position.
Space group Cmcm (No. 63)
Inequivalent atoms, fractional coordinates:
La 0.0000 0.2188 0.2500 [4 per cell]  2 Ir 2.81, 1 Cu 2.90
Zn 0.0000 0.3595 0.7500 [4 per cell]  1 Cu 2.49, 1 Ir 2.59
Zn 0.1989 0.0000 0.0000 [8 per cell]  2 Cu 2.44, 3 Zn 2.53-2.70, 2 Ir 2.73
Cu 0.0000 0.4459 0.2500 [4 per cell]  5 Zn 2.44-2.49
Ir 0.0000 0.1569 0.7500 [4 per cell]  5 Zn 2.59-2.73, 2 La 2.81

[2]
LiCuIr2 | PBE | relaxed

Summary:
**DFT formation energy**: -0.024 eV/atom

abc: 2.7104 4.4821 9.2990
angles: 90.00 90.00 90.00
Closest atoms and distances in Å follow each position.
Space group Immm (No. 71)
Inequivalent atoms, fractional coordinates:
Li 0.0000 0.0000 0.0000 [2 per cell]  4 Cu 2.62, 2 Li 2.71, 4 Ir 2.86
Cu 0.0000 0.0000 0.5000 [2 per cell]  4 Ir 2.52, 4 Li 2.62, 2 Cu 2.71
Ir 0.0000 0.5000 0.2286 [4 per cell]  2 Cu 2.52, 6 Ir 2.65-2.71

[3]
LiCuIr2 | PBE | relaxed

Summary:
**DFT formation energy**: 0.153 eV/atom

abc: 2.6063 3.9982 5.2013
angles: 90.00 90.00 90.00
Closest atoms and distances in Å follow each position.
Space group Pmmm (No. 47)
Inequivalent atoms, fractional coordinates:
Li 0.0000 0.0000 0.0000 [1 per cell]  2 Cu 2.60, 2 Li 2.61, 8 Ir 2.71
Cu 0.0000 0.0000 0.5000 [1 per cell]  2 Li 2.60, 2 Cu 2.61, 8 Ir 2.73
Ir 0.5000 0.5000 0.2456 [2 per cell]  4 Ir 2.55-2.65, 4 Li 2.71, 4 Cu 2.73

[4]
Li2CuIr | PBE | relaxed

Summary:
**DFT formation energy**: -0.109 eV/atom
**Excess energy over the best structure of this formula in the dataset**: 0.008 eV per atom

abc: 2.5405 4.3634 4.7479
angles: 90.00 93.82 90.00
Closest atoms and distances in Å follow each position.
Space group P2/m (No. 10)
Inequivalent atoms, fractional coordinates:
Li 0.1927 0.0000 0.2388 [2 per cell]  3 Li 2.41-2.54, 2 Cu 2.57, 2 Ir 2.60
Cu 0.0000 0.5000 0.5000 [1 per cell]  2 Cu 2.54, 4 Li 2.57, 4 Ir 2.62-2.77
Ir 0.5000 0.5000 0.0000 [1 per cell]  2 Ir 2.54, 4 Li 2.60, 4 Cu 2.62-2.77